Here is MgOs3Br after structural relaxation from the Alexandria database. Energies are from PBE-GGA.

a = 4.631 Å, b = 4.631 Å, c = 4.631 Å
α = 90.00°, β = 90.00°, γ = 90.00°
Each line ends with the local moment (μB).
Fractional coordinates of all 5 atoms:
Os  0.000  0.500  0.000  1.13
Os  0.000  0.000  0.500  0.88
Os  0.500  0.000  0.000  1.04
Mg  0.000  0.000  0.000  -0.01
Br  0.500  0.500  0.500  0.18

**DOS at the Fermi energy**: 6.0 states/eV/f.u.
**Formation energy from raw total energies**: 14.05 eV/f.u.
**Total magnetic moment**: 3.48 μB per cell
**E_tot**: -22.91 eV per formula unit
**Energy above the lowest structure with this stoichiometry**: 730 meV/atom